1.
The following is a DFT calculation (PBE-GGA) of crystalline Sr3Ca6Cd at its relaxed geometry.

Lattice parameters (Å, degrees): 11.7589 5.8026 12.5490 90.00 95.13 90.00
With the nearest neighbours (Å) after each atom.
Space group P2_1/m (No. 11)
One atom of each set of equivalent atoms:
Sr 0.0453 0.2500 0.4060 (multiplicity 2)  4 Sr 3.94-3.98, 8 Ca 3.96-4.37
Sr 0.1502 0.7500 0.2210 (multiplicity 2)  8 Ca 3.93-4.26, 4 Sr 3.98-4.10
Sr 0.2610 0.2500 0.0233 (multiplicity 2)  10 Ca 3.86-4.21, 2 Sr 4.10
Ca 0.0611 0.7500 0.9036 (multiplicity 2)  5 Ca 3.76-4.18, 7 Sr 3.95-4.04
Ca 0.1861 0.2500 0.7051 (multiplicity 2)  1 Cd 3.31
Ca 0.3050 0.7500 0.5216 (multiplicity 2)  3 Cd 3.53-3.58, 4 Ca 3.72-3.82
Ca 0.3597 0.7500 0.8186 (multiplicity 2)  8 Ca 3.64-3.90, 2 Cd 3.99
Ca 0.3908 0.2500 0.3471 (multiplicity 2)  3 Cd 3.47-3.48, 4 Ca 3.74-3.82
Ca 0.4587 0.7500 0.1239 (multiplicity 2)  1 Cd 3.26, 2 Ca 3.64
Cd 0.4463 0.2500 0.6236 (multiplicity 2)  8 Ca 3.26-3.58

Total DFT energy (no corrections), eV/atom: -1.835

2.
The following is a DFT calculation (PBE-GGA) of crystalline KCdGaPt at its relaxed geometry.

Lattice parameters (Å, degrees): 7.7868 4.5434 6.6873 90.00 112.85 90.00
With the nearest neighbours (Å) after each atom.
Space group Cm (No. 8)
One atom of each set of equivalent atoms:
K 0.0000 0.0000 0.0000 (multiplicity 2)  3 Ga 3.54-3.55, 4 Pt 3.55-3.70, 4 Cd 3.57-3.68
Cd 0.1957 0.0000 0.5794 (multiplicity 2)  3 Pt 2.77-2.78, 3 Ga 2.84-2.87
Ga 0.4644 0.0000 0.3894 (multiplicity 2)  3 Pt 2.61-2.62, 3 Cd 2.84-2.87
Pt 0.3099 0.5000 0.4241 (multiplicity 2)  3 Ga 2.61-2.62, 3 Cd 2.77-2.78

Total DFT energy (no corrections), eV/atom: -3.090

3.
The following is a DFT calculation (PBE-GGA) of crystalline Rb2ZrMoBr6 at its relaxed geometry.

Lattice parameters (Å, degrees): 10.6966 10.6966 10.6966 90.00 90.00 90.00
With the nearest neighbours (Å) after each atom.
Space group Fm-3m (No. 225)
One atom of each set of equivalent atoms:
Rb 0.2500 0.2500 0.2500 (multiplicity 8)  12 Br 3.78
Zr 0.0000 0.0000 0.0000 (multiplicity 4)  6 Br 2.71
Mo 0.0000 0.0000 0.5000 (multiplicity 4)  6 Br 2.64
Br 0.0000 0.0000 0.2529 (multiplicity 24)  1 Mo 2.64, 1 Zr 2.71

Total DFT energy (no corrections), eV/atom: -4.019
Formation energy (no corrections), eV/atom: -0.883

4.
The following is a DFT calculation (PBE-GGA) of crystalline Tm3Cd2Co at its relaxed geometry.

Lattice parameters (Å, degrees): 16.0285 5.1425 6.9403 90.00 90.00 90.00
With the nearest neighbours (Å) after each atom.
Space group Cmcm (No. 63)
One atom of each set of equivalent atoms:
Tm 0.0000 0.0503 0.2500 (multiplicity 4)  2 Co 2.56-2.58
Tm 0.1266 0.5000 0.0000 (multiplicity 8)  2 Co 2.68
Cd 0.1978 0.0016 0.7500 (multiplicity 8)  2 Cd 3.07, 7 Tm 3.18-3.31
Co 0.0000 0.4471 0.7500 (multiplicity 4)  6 Tm 2.56-2.68

Relative energy among the computed polymorphs, kJ per mole of atoms: 3.3
Total DFT energy (no corrections), eV/atom: -3.962

5.
The following is a DFT calculation (PBE-GGA) of crystalline Mg4ScCd15 at its relaxed geometry.

Lattice parameters (Å, degrees): 4.5509 4.5509 21.1657 90.00 90.00 90.00
With the nearest neighbours (Å) after each atom.
Space group P4/mmm (No. 123)
One atom of each set of equivalent atoms:
Mg 0.0000 0.0000 0.0991 (multiplicity 2)  12 Cd 3.10-3.22
Mg 0.0000 0.0000 0.3020 (multiplicity 2)  12 Cd 3.08-3.22
Sc 0.0000 0.0000 0.5000 (multiplicity 1)  12 Cd 3.11-3.22
Cd 0.0000 0.5000 0.0000 (multiplicity 2)  4 Mg 3.10, 8 Cd 3.13-3.22
Cd 0.0000 0.5000 0.2006 (multiplicity 4)  8 Cd 3.08-3.22, 4 Mg 3.13
Cd 0.0000 0.5000 0.3998 (multiplicity 4)  2 Mg 3.08, 8 Cd 3.11-3.22, 2 Sc 3.11
Cd 0.5000 0.5000 0.1017 (multiplicity 2)  8 Cd 3.09-3.13, 4 Mg 3.22
Cd 0.5000 0.5000 0.2985 (multiplicity 2)  8 Cd 3.08-3.13, 4 Mg 3.22
Cd 0.5000 0.5000 0.5000 (multiplicity 1)  8 Cd 3.11, 4 Sc 3.22

Total DFT energy (no corrections), eV/atom: -1.421

6.
The following is a DFT calculation (PBE-GGA) of crystalline TaCuMo2 at its relaxed geometry.

Lattice parameters (Å, degrees): 2.6022 4.2951 5.6669 90.00 90.00 90.00
With the nearest neighbours (Å) after each atom.
Space group Pmmm (No. 47)
One atom of each set of equivalent atoms:
Ta 0.0000 0.0000 0.0000 (multiplicity 1)  2 Ta 2.60, 2 Cu 2.83
Cu 0.0000 0.0000 0.5000 (multiplicity 1)  2 Cu 2.60, 2 Ta 2.83, 8 Mo 2.84
Mo 0.5000 0.5000 0.2642 (multiplicity 2)  3 Mo 2.60-2.67, 4 Cu 2.84

Relative energy among the computed polymorphs, kJ per mole of atoms: 18.9
Total DFT energy (no corrections), eV/atom: -9.137

7.
The following is a DFT calculation (PBE-GGA) of crystalline CrCdPd2 at its relaxed geometry.

Lattice parameters (Å, degrees): 4.2706 4.2706 3.5984 90.00 90.00 90.00
With the nearest neighbours (Å) after each atom.
Space group P4/mmm (No. 123)
One atom of each set of equivalent atoms:
Cr 0.0000 0.0000 0.0000 (multiplicity 1)  8 Pd 2.79, 4 Cd 3.02
Cd 0.5000 0.5000 0.0000 (multiplicity 1)  8 Pd 2.79, 4 Cr 3.02
Pd 0.0000 0.5000 0.5000 (multiplicity 2)  4 Cd 2.79, 4 Cr 2.79, 4 Pd 3.02

Total DFT energy (no corrections), eV/atom: -5.358

8.
The following is a DFT calculation (PBE-GGA) of crystalline TbSm12Er6 at its relaxed geometry.

Lattice parameters (Å, degrees): 13.3080 13.3080 12.6130 90.00 90.00 120.00
With the nearest neighbours (Å) after each atom.
Space group R-3m (No. 166, hexagonal axes)
One atom of each set of equivalent atoms:
Tb 0.0000 0.0000 0.0000 (multiplicity 3)  6 Er 3.40
Sm 0.0000 0.2586 0.5000 (multiplicity 18)  6 Sm 3.36-3.56, 4 Er 3.47-3.58
Sm 0.0905 0.1811 0.2636 (multiplicity 18)  6 Sm 3.36-3.61
Er 0.0430 0.5215 0.6198 (multiplicity 18)  3 Er 3.18-3.55, 1 Tb 3.40, 2 Sm 3.47

Relative energy among the computed polymorphs, kJ per mole of atoms: 5.6
Total DFT energy (no corrections), eV/atom: -4.465

9.
The following is a DFT calculation (PBE-GGA) of crystalline SmClO at its relaxed geometry.

Lattice parameters (Å, degrees): 4.0117 4.0117 6.7911 90.00 90.00 90.00
With the nearest neighbours (Å) after each atom.
Space group P4/nmm (No. 129, origin choice 2)
One atom of each set of equivalent atoms:
Sm 0.2500 0.2500 0.1713 (multiplicity 2)  4 O 2.32
Cl 0.2500 0.2500 0.6271 (multiplicity 2)  5 Sm 3.10-3.15, 4 O 3.23, 4 Cl 3.32
O 0.2500 0.7500 0.0000 (multiplicity 2)  4 Sm 2.32

Total DFT energy (no corrections), eV/atom: -6.894
Formation energy (no corrections), eV/atom: -3.052

10.
The following is a DFT calculation (PBE-GGA) of crystalline K2MnCdCl6 at its relaxed geometry.

Lattice parameters (Å, degrees): 7.2240 7.2240 37.1925 90.00 90.00 120.00
With the nearest neighbours (Å) after each atom.
Space group R-3m (No. 166, hexagonal axes)
One atom of each set of equivalent atoms:
K 0.0000 0.0000 0.1290 (multiplicity 6)  12 Cl 3.61-3.92
K 0.0000 0.0000 0.2969 (multiplicity 6)  12 Cl 3.53-3.95
Mn 0.0000 0.0000 0.0000 (multiplicity 3)  6 Cl 2.51
Mn 0.0000 0.0000 0.5000 (multiplicity 3)  6 Cl 2.55
Cd 0.0000 0.0000 0.4137 (multiplicity 6)  6 Cl 2.62-2.66
Cl 0.0063 0.5031 0.1260 (multiplicity 18)  1 Mn 2.55, 1 Cd 2.66
Cl 0.0069 0.5035 0.7058 (multiplicity 18)  1 Mn 2.51, 1 Cd 2.62

Total DFT energy (no corrections), eV/atom: -3.759
Formation energy (no corrections), eV/atom: -1.423

11.
The following is a DFT calculation (PBE-GGA) of crystalline LaBeSb at its relaxed geometry.

Lattice parameters (Å, degrees): 3.3690 3.7644 11.1243 90.00 90.00 90.00
With the nearest neighbours (Å) after each atom.
Space group Imm2 (No. 44)
One atom of each set of equivalent atoms:
La 0.0000 0.0000 0.0000 (multiplicity 2)  5 Sb 3.21-3.45, 5 Be 3.31-3.43, 2 La 3.37
Be 0.0000 0.0000 0.3080 (multiplicity 2)  4 Sb 2.74
Sb 0.0000 0.0000 0.7116 (multiplicity 2)  4 Be 2.74

Relative energy among the computed polymorphs, kJ per mole of atoms: 49.0
Total DFT energy (no corrections), eV/atom: -4.400
Formation energy (no corrections), eV/atom: -0.141

12.
The following is a DFT calculation (PBE-GGA) of crystalline Sm2PdCl at its relaxed geometry.

Lattice parameters (Å, degrees): 3.3976 3.3976 29.8194 90.00 90.00 120.00
With the nearest neighbours (Å) after each atom.
Space group R-3m (No. 166, hexagonal axes)
One atom of each set of equivalent atoms:
Sm 0.0000 0.0000 0.0891 (multiplicity 6)  1 Pd 2.66
Pd 0.0000 0.0000 0.0000 (multiplicity 3)  2 Sm 2.66
Cl 0.0000 0.0000 0.5000 (multiplicity 3)  6 Sm 3.03

Relative energy among the computed polymorphs, kJ per mole of atoms: 46.8
Total DFT energy (no corrections), eV/atom: -4.692
Formation energy (no corrections), eV/atom: -0.573

13.
The following is a DFT calculation (PBE-GGA) of crystalline LaMo at its relaxed geometry.

Lattice parameters (Å, degrees): 8.6012 8.6012 8.6012 90.00 90.00 90.00
With the nearest neighbours (Å) after each atom.
Space group I-43m (No. 217)
One atom of each set of equivalent atoms:
La 0.2248 0.2248 0.7752 (multiplicity 8)  1 Mo 2.49
Mo 0.1078 0.1078 0.1078 (multiplicity 8)  1 La 2.49, 3 Mo 2.62

Relative energy among the computed polymorphs, kJ per mole of atoms: 90.6
Total DFT energy (no corrections), eV/atom: -6.699

14.
The following is a DFT calculation (PBE-GGA) of crystalline La2ErTl at its relaxed geometry.

Lattice parameters (Å, degrees): 6.4278 3.7072 11.4642 90.00 100.83 90.00
With the nearest neighbours (Å) after each atom.
Space group Cm (No. 8)
One atom of each set of equivalent atoms:
La 0.0000 0.0000 0.0000 (multiplicity 2)  3 Tl 3.48, 3 Er 3.59, 6 La 3.71
La 0.1709 0.0000 0.5128 (multiplicity 2)  3 Tl 3.48, 3 Er 3.60, 6 La 3.71
Er 0.2526 0.5000 0.2559 (multiplicity 2)  6 La 3.59-3.60, 6 Er 3.71
Tl 0.0858 0.5000 0.7563 (multiplicity 2)  6 La 3.48, 6 Tl 3.71

Relative energy among the computed polymorphs, kJ per mole of atoms: 11.0
Total DFT energy (no corrections), eV/atom: -4.286

15.
The following is a DFT calculation (PBE-GGA) of crystalline MgSnH3 at its relaxed geometry.

Lattice parameters (Å, degrees): 4.1523 4.1523 4.1523 90.00 90.00 90.00
With the nearest neighbours (Å) after each atom.
Space group Pm-3m (No. 221)
One atom of each set of equivalent atoms:
Mg 0.0000 0.0000 0.0000 (multiplicity 1)  12 H 2.94
Sn 0.5000 0.5000 0.5000 (multiplicity 1)  6 H 2.08
H 0.0000 0.5000 0.5000 (multiplicity 3)  2 Sn 2.08

Relative energy among the computed polymorphs, kJ per mole of atoms: 22.3
Total DFT energy (no corrections), eV/atom: -2.649

16.
The following is a DFT calculation (PBE-GGA) of crystalline CaMoW2 at its relaxed geometry.

Lattice parameters (Å, degrees): 2.7594 4.5887 5.8510 90.00 99.30 90.00
With the nearest neighbours (Å) after each atom.
Space group P2/m (No. 10)
One atom of each set of equivalent atoms:
Ca 0.0000 0.0000 0.0000 (multiplicity 1)  2 Ca 2.76, 4 W 2.98, 2 Mo 3.03
Mo 0.5000 0.0000 0.5000 (multiplicity 1)  4 W 2.75, 2 Mo 2.76, 2 Ca 3.03
W 0.2575 0.5000 0.7162 (multiplicity 2)  3 W 2.69-2.76, 2 Mo 2.75, 2 Ca 2.98

Relative energy among the computed polymorphs, kJ per mole of atoms: 15.2
Total DFT energy (no corrections), eV/atom: -9.007

M_tot for every record listed, in sequence, given in μB/f.u.: 0.00; 0.00; 0.00; 0.00; 0.00; 0.00; 4.25; 0.01; 0.00; 0.02; 0.00; 0.00; 0.00; 0.32; 0.00; 0.00.